Record 1
The following is a GGA-PBE calculation of a relaxed BaLi2SbTe4 crystal, from Alexandria.

Total magnetization = 0.0 μB/f.u.
Total energy = -57.5 eV for the cell shown

CIF file:
```
data_BaLi2SbTe4
_chemical_formula_sum 'Ba2 Li4 Sb2 Te8'
_symmetry_space_group_name_H-M 'I -4 2 m'
_symmetry_Int_Tables_number 121
_symmetry_space_group_name_Hall 'I -4 2'
_cell_length_a 7.816
_cell_length_b 7.816
_cell_length_c 9.098
_cell_angle_alpha 90.00
_cell_angle_beta 90.00
_cell_angle_gamma 90.00
loop_
_atom_site_label
_atom_site_type_symbol
_atom_site_fract_x
_atom_site_fract_y
_atom_site_fract_z
_atom_site_occupancy
Ba1 Ba 0.000 0.000 0.000 1
Li1 Li 0.000 0.500 0.250 1
Sb1 Sb 0.000 0.000 0.500 1
Te1 Te 0.211 0.211 0.315 1
```

=====

Record 2
The following is a GGA-PBE calculation of a relaxed BaLiSbTe2 crystal, from Alexandria.

Total magnetization = 1.6 μB/f.u.
Distance to the lowest polymorph of the same formula = 824 meV/atom

CIF file:
```
data_BaLiSbTe2
_chemical_formula_sum 'Ba1 Li1 Sb1 Te2'
_symmetry_space_group_name_H-M 'P 4/m m m'
_symmetry_Int_Tables_number 123
_symmetry_space_group_name_Hall '-P 4 2'
_cell_length_a 6.529
_cell_length_b 6.529
_cell_length_c 6.452
_cell_angle_alpha 90.00
_cell_angle_beta 90.00
_cell_angle_gamma 90.00
loop_
_atom_site_label
_atom_site_type_symbol
_atom_site_fract_x
_atom_site_fract_y
_atom_site_fract_z
_atom_site_occupancy
Ba1 Ba 0.000 0.000 0.000 1
Li1 Li 0.500 0.500 0.500 1
Sb1 Sb 0.000 0.000 0.500 1
Te1 Te 0.000 0.500 0.000 1
```

=====

Record 3
The following is a GGA-PBE calculation of a relaxed BaLiSbTe2 crystal, from Alexandria.

Total magnetization = 0.0 μB/f.u.
Distance to the lowest polymorph of the same formula = 0 meV/atom

CIF file:
```
data_BaLiSbTe2
_chemical_formula_sum 'Ba1 Li1 Sb1 Te2'
_symmetry_space_group_name_H-M 'P 4/m m m'
_symmetry_Int_Tables_number 123
_symmetry_space_group_name_Hall '-P 4 2'
_cell_length_a 5.559
_cell_length_b 5.559
_cell_length_c 4.993
_cell_angle_alpha 90.00
_cell_angle_beta 90.00
_cell_angle_gamma 90.00
loop_
_atom_site_label
_atom_site_type_symbol
_atom_site_fract_x
_atom_site_fract_y
_atom_site_fract_z
_atom_site_occupancy
Ba1 Ba 0.000 0.000 0.000 1
Li1 Li 0.500 0.500 0.500 1
Sb1 Sb 0.500 0.500 0.000 1
Te1 Te 0.000 0.500 0.500 1
```

=====

Record 4
The following is a GGA-PBE calculation of a relaxed BaLiTl2Sb crystal, from Alexandria.

Total magnetization = 0.0 μB/f.u.
Total energy = -14.6 eV for the cell shown

CIF file:
```
data_BaLiTl2Sb
_chemical_formula_sum 'Ba1 Li1 Tl2 Sb1'
_symmetry_space_group_name_H-M 'P 4/m m m'
_symmetry_Int_Tables_number 123
_symmetry_space_group_name_Hall '-P 4 2'
_cell_length_a 5.364
_cell_length_b 5.364
_cell_length_c 5.322
_cell_angle_alpha 90.00
_cell_angle_beta 90.00
_cell_angle_gamma 90.00
loop_
_atom_site_label
_atom_site_type_symbol
_atom_site_fract_x
_atom_site_fract_y
_atom_site_fract_z
_atom_site_occupancy
Ba1 Ba 0.000 0.000 0.000 1
Li1 Li 0.500 0.500 0.500 1
Tl1 Tl 0.000 0.500 0.500 1
Sb1 Sb 0.500 0.500 0.000 1
```

=====

Record 5
The following is a GGA-PBE calculation of a relaxed Ba2Li3TlSb4 crystal, from Alexandria.

Total magnetization = 0.0 μB/f.u.
Total energy = -35.3 eV for the cell shown

CIF file:
```
data_Ba2Li3TlSb4
_chemical_formula_sum 'Ba2 Li3 Tl1 Sb4'
_symmetry_space_group_name_H-M 'P -4 m 2'
_symmetry_Int_Tables_number 115
_symmetry_space_group_name_Hall 'P -4 -2'
_cell_length_a 4.949
_cell_length_b 4.949
_cell_length_c 11.762
_cell_angle_alpha 90.00
_cell_angle_beta 90.00
_cell_angle_gamma 90.00
loop_
_atom_site_label
_atom_site_type_symbol
_atom_site_fract_x
_atom_site_fract_y
_atom_site_fract_z
_atom_site_occupancy
Ba1 Ba 0.000 0.500 0.234 1
Li1 Li 0.000 0.500 0.882 1
Li2 Li 0.500 0.500 0.500 1
Tl1 Tl 0.000 0.000 0.500 1
Sb1 Sb 0.000 0.000 0.000 1
Sb2 Sb 0.000 0.500 0.645 1
Sb3 Sb 0.500 0.500 0.000 1
```

=====

Record 6
The following is a GGA-PBE calculation of a relaxed Ba2Li3TmSb4 crystal, from Alexandria.

Total magnetization = 0.0 μB/f.u.
Total energy = -38.9 eV for the cell shown

CIF file:
```
data_Ba2Li3TmSb4
_chemical_formula_sum 'Ba2 Li3 Tm1 Sb4'
_symmetry_space_group_name_H-M 'P -4 m 2'
_symmetry_Int_Tables_number 115
_symmetry_space_group_name_Hall 'P -4 -2'
_cell_length_a 4.927
_cell_length_b 4.927
_cell_length_c 11.931
_cell_angle_alpha 90.00
_cell_angle_beta 90.00
_cell_angle_gamma 90.00
loop_
_atom_site_label
_atom_site_type_symbol
_atom_site_fract_x
_atom_site_fract_y
_atom_site_fract_z
_atom_site_occupancy
Ba1 Ba 0.000 0.500 0.221 1
Li1 Li 0.000 0.500 0.883 1
Li2 Li 0.500 0.500 0.500 1
Tm1 Tm 0.000 0.000 0.500 1
Sb1 Sb 0.000 0.000 0.000 1
Sb2 Sb 0.000 0.500 0.643 1
Sb3 Sb 0.500 0.500 0.000 1
```

=====

Record 7
The following is a GGA-PBE calculation of a relaxed Ba2Li3YSb4 crystal, from Alexandria.

Total magnetization = 0.3 μB/f.u.
Total energy = -41.0 eV for the cell shown

CIF file:
```
data_Ba2Li3YSb4
_chemical_formula_sum 'Ba2 Li3 Y1 Sb4'
_symmetry_space_group_name_H-M 'P -4 m 2'
_symmetry_Int_Tables_number 115
_symmetry_space_group_name_Hall 'P -4 -2'
_cell_length_a 4.932
_cell_length_b 4.932
_cell_length_c 12.023
_cell_angle_alpha 90.00
_cell_angle_beta 90.00
_cell_angle_gamma 90.00
loop_
_atom_site_label
_atom_site_type_symbol
_atom_site_fract_x
_atom_site_fract_y
_atom_site_fract_z
_atom_site_occupancy
Ba1 Ba 0.000 0.500 0.220 1
Li1 Li 0.000 0.500 0.883 1
Li2 Li 0.500 0.500 0.500 1
Y1 Y 0.000 0.000 0.500 1
Sb1 Sb 0.000 0.000 0.000 1
Sb2 Sb 0.000 0.500 0.646 1
Sb3 Sb 0.500 0.500 0.000 1
```

=====

Record 8
The following is a GGA-PBE calculation of a relaxed Ba2LiSc crystal, from Alexandria.

Total magnetization = 0.0 μB/f.u.
Distance to the lowest polymorph of the same formula = 5 meV/atom
Energy of formation = 0.224 eV per atom

CIF file:
```
data_Ba2LiSc
_chemical_formula_sum 'Ba8 Li4 Sc4'
_symmetry_space_group_name_H-M 'C 1 m 1'
_symmetry_Int_Tables_number 8
_symmetry_space_group_name_Hall 'C -2y'
_cell_length_a 13.961
_cell_length_b 3.980
_cell_length_c 12.448
_cell_angle_alpha 90.00
_cell_angle_beta 113.38
_cell_angle_gamma 90.00
loop_
_atom_site_label
_atom_site_type_symbol
_atom_site_fract_x
_atom_site_fract_y
_atom_site_fract_z
_atom_site_occupancy
Ba1 Ba 0.000 0.000 0.000 1
Ba2 Ba 0.015 0.500 0.704 1
Ba3 Ba 0.228 0.500 0.575 1
Ba4 Ba 0.287 0.500 0.130 1
Li1 Li 0.257 0.000 0.852 1
Li2 Li 0.259 0.000 0.353 1
Sc1 Sc 0.047 0.500 0.277 1
Sc2 Sc 0.469 0.500 0.428 1
```

=====

Record 9
The following is a GGA-PBE calculation of a relaxed Ba2LiSc crystal, from Alexandria.

Total magnetization = 0.6 μB/f.u.
Distance to the lowest polymorph of the same formula = 153 meV/atom
Energy of formation = 0.371 eV per atom

CIF file:
```
data_Ba2LiSc
_chemical_formula_sum 'Ba8 Li4 Sc4'
_symmetry_space_group_name_H-M 'F -4 3 m'
_symmetry_Int_Tables_number 216
_symmetry_space_group_name_Hall 'F -4 2 3'
_cell_length_a 8.488
_cell_length_b 8.488
_cell_length_c 8.488
_cell_angle_alpha 90.00
_cell_angle_beta 90.00
_cell_angle_gamma 90.00
loop_
_atom_site_label
_atom_site_type_symbol
_atom_site_fract_x
_atom_site_fract_y
_atom_site_fract_z
_atom_site_occupancy
Ba1 Ba 0.000 0.000 0.000 1
Ba2 Ba 0.250 0.250 0.250 1
Li1 Li 0.250 0.250 0.750 1
Sc1 Sc 0.000 0.000 0.500 1
```

=====

Record 10
The following is a GGA-PBE calculation of a relaxed Ba2LiSc crystal, from Alexandria.

Total magnetization = 0.7 μB/f.u.
Distance to the lowest polymorph of the same formula = 153 meV/atom
Energy of formation = 0.372 eV per atom

CIF file:
```
data_Ba2LiSc
_chemical_formula_sum 'Ba4 Li2 Sc2'
_symmetry_space_group_name_H-M 'I -4 m 2'
_symmetry_Int_Tables_number 119
_symmetry_space_group_name_Hall 'I -4 -2'
_cell_length_a 5.241
_cell_length_b 5.241
_cell_length_c 11.807
_cell_angle_alpha 90.00
_cell_angle_beta 90.00
_cell_angle_gamma 90.00
loop_
_atom_site_label
_atom_site_type_symbol
_atom_site_fract_x
_atom_site_fract_y
_atom_site_fract_z
_atom_site_occupancy
Ba1 Ba 0.000 0.000 0.000 1
Ba2 Ba 0.000 0.500 0.250 1
Li1 Li 0.000 0.500 0.750 1
Sc1 Sc 0.000 0.000 0.500 1
```

=====

Record 11
The following is a GGA-PBE calculation of a relaxed BaLiSc2 crystal, from Alexandria.

Total magnetization = 0.0 μB/f.u.
Distance to the lowest polymorph of the same formula = 78 meV/atom
Energy of formation = 0.303 eV per atom

CIF file:
```
data_BaLiSc2
_chemical_formula_sum 'Ba2 Li2 Sc4'
_symmetry_space_group_name_H-M 'C 1 2/m 1'
_symmetry_Int_Tables_number 12
_symmetry_space_group_name_Hall '-C 2y'
_cell_length_a 12.987
_cell_length_b 3.567
_cell_length_c 5.573
_cell_angle_alpha 90.00
_cell_angle_beta 115.35
_cell_angle_gamma 90.00
loop_
_atom_site_label
_atom_site_type_symbol
_atom_site_fract_x
_atom_site_fract_y
_atom_site_fract_z
_atom_site_occupancy
Ba1 Ba 0.000 0.000 0.000 1
Li1 Li 0.000 0.500 0.500 1
Sc1 Sc 0.222 0.000 0.722 1
```

=====

Record 12
The following is a GGA-PBE calculation of a relaxed BaLiSc2 crystal, from Alexandria.

Total magnetization = 0.4 μB/f.u.
Distance to the lowest polymorph of the same formula = 223 meV/atom
Energy of formation = 0.448 eV per atom

CIF file:
```
data_BaLiSc2
_chemical_formula_sum 'Ba2 Li2 Sc4'
_symmetry_space_group_name_H-M 'C m m m'
_symmetry_Int_Tables_number 65
_symmetry_space_group_name_Hall '-C 2 2'
_cell_length_a 6.500
_cell_length_b 10.638
_cell_length_c 3.450
_cell_angle_alpha 90.00
_cell_angle_beta 90.00
_cell_angle_gamma 90.00
loop_
_atom_site_label
_atom_site_type_symbol
_atom_site_fract_x
_atom_site_fract_y
_atom_site_fract_z
_atom_site_occupancy
Ba1 Ba 0.000 0.000 0.000 1
Li1 Li 0.000 0.500 0.000 1
Sc1 Sc 0.250 0.250 0.500 1
```

=====

Record 13
The following is a GGA-PBE calculation of a relaxed Ba2LiSc crystal, from Alexandria.

Total magnetization = 0.0 μB/f.u.
Distance to the lowest polymorph of the same formula = 44 meV/atom
Energy of formation = 0.262 eV per atom

CIF file:
```
data_Ba2LiSc
_chemical_formula_sum 'Ba4 Li2 Sc2'
_symmetry_space_group_name_H-M 'A m m 2'
_symmetry_Int_Tables_number 38
_symmetry_space_group_name_Hall 'A 2 -2'
_cell_length_a 3.948
_cell_length_b 9.774
_cell_length_c 8.306
_cell_angle_alpha 90.00
_cell_angle_beta 90.00
_cell_angle_gamma 90.00
loop_
_atom_site_label
_atom_site_type_symbol
_atom_site_fract_x
_atom_site_fract_y
_atom_site_fract_z
_atom_site_occupancy
Ba1 Ba 0.000 0.212 0.000 1
Li1 Li 0.500 0.000 0.302 1
Sc1 Sc 0.500 0.000 0.695 1
```